Model a:
VASP calculation (GGA-PBE) on crystalline Cu2AgTe at its relaxed geometry.

The structure in CIF format:
```
data_Cu2AgTe
_chemical_formula_sum 'Cu2 Ag1 Te1'
_space_group_name_H-M_alt 'P m m m'
_space_group_IT_number 47
_cell_length_a 3.104
_cell_length_b 3.692
_cell_length_c 6.469
_cell_angle_alpha 90.00
_cell_angle_beta 90.00
_cell_angle_gamma 90.00
loop_
_space_group_symop_operation_xyz
'x,y,z'
'-x,-y,-z'
'-x,-y,z'
'x,y,-z'
'x,-y,-z'
'-x,y,z'
'-x,y,-z'
'x,-y,z'
loop_
_atom_site_label
_atom_site_type_symbol
_atom_site_fract_x
_atom_site_fract_y
_atom_site_fract_z
_atom_site_occupancy
Cu1 Cu 0.000 0.000 0.194 1
Ag1 Ag 0.500 0.500 0.000 1
Te1 Te 0.000 0.500 0.500 1
```


Model b:
VASP calculation (GGA-PBE) on crystalline Cu2AgTe at its relaxed geometry.

The structure in CIF format:
```
data_Cu2AgTe
_chemical_formula_sum 'Cu2 Ag1 Te1'
_space_group_name_H-M_alt 'P 4 m m'
_space_group_IT_number 99
_cell_length_a 3.344
_cell_length_b 3.344
_cell_length_c 6.384
_cell_angle_alpha 90.00
_cell_angle_beta 90.00
_cell_angle_gamma 90.00
loop_
_space_group_symop_operation_xyz
'x,y,z'
'-y,x,z'
'-x,-y,z'
'y,-x,z'
'-x,y,z'
'y,x,z'
'x,-y,z'
'-y,-x,z'
loop_
_atom_site_label
_atom_site_type_symbol
_atom_site_fract_x
_atom_site_fract_y
_atom_site_fract_z
_atom_site_occupancy
Cu1 Cu 0.000 0.000 0.000 1
Cu2 Cu 0.500 0.500 0.179 1
Ag1 Ag 0.500 0.500 0.770 1
Te1 Te 0.000 0.000 0.428 1
```


Model c:
VASP calculation (GGA-PBE) on crystalline Cu2AgTe at its relaxed geometry.

The structure in CIF format:
```
data_Cu2AgTe
_chemical_formula_sum 'Cu2 Ag1 Te1'
_space_group_name_H-M_alt 'P 4/m m m'
_space_group_IT_number 123
_space_group_name_Hall '-P 4 2'
_cell_length_a 3.521
_cell_length_b 3.521
_cell_length_c 5.601
_cell_angle_alpha 90.00
_cell_angle_beta 90.00
_cell_angle_gamma 90.00
loop_
_atom_site_label
_atom_site_type_symbol
_atom_site_fract_x
_atom_site_fract_y
_atom_site_fract_z
_atom_site_occupancy
Cu1 Cu 0.000 0.000 0.240 1
Ag1 Ag 0.500 0.500 0.000 1
Te1 Te 0.500 0.500 0.500 1
```


Model d:
VASP calculation (GGA-PBE) on crystalline Cu2AgTe at its relaxed geometry.

The structure in CIF format:
```
data_Cu2AgTe
_chemical_formula_sum 'Cu4 Ag2 Te2'
_space_group_name_H-M_alt 'C 1 2/m 1'
_space_group_IT_number 12
_cell_length_a 8.471
_cell_length_b 3.028
_cell_length_c 5.795
_cell_angle_alpha 90.00
_cell_angle_beta 99.11
_cell_angle_gamma 90.00
loop_
_space_group_symop_operation_xyz
'x,y,z'
'-x,-y,-z'
'-x,y,-z'
'x,-y,z'
'x+1/2,y+1/2,z'
'-x+1/2,-y+1/2,-z'
'-x+1/2,y+1/2,-z'
'x+1/2,-y+1/2,z'
loop_
_atom_site_label
_atom_site_type_symbol
_atom_site_fract_x
_atom_site_fract_y
_atom_site_fract_z
_atom_site_occupancy
Cu1 Cu 0.245 0.000 0.197 1
Ag1 Ag 0.000 0.500 0.000 1
Te1 Te 0.000 0.000 0.500 1
```


How do the energies compare? Relative to the most stable structure, in meV/atom: model a 0; model b 48; model c 43; model d 79.


Model a:
VASP calculation (GGA-PBE) on crystalline Cu2AgTe at its relaxed geometry.

The structure in CIF format:
```
data_Cu2AgTe
_chemical_formula_sum 'Cu4 Ag2 Te2'
_space_group_name_H-M_alt 'C 1 m 1'
_space_group_IT_number 8
_cell_length_a 7.165
_cell_length_b 4.394
_cell_length_c 5.180
_cell_angle_alpha 90.00
_cell_angle_beta 113.59
_cell_angle_gamma 90.00
loop_
_space_group_symop_operation_xyz
'x,y,z'
'x,-y,z'
'x+1/2,y+1/2,z'
'x+1/2,-y+1/2,z'
loop_
_atom_site_label
_atom_site_type_symbol
_atom_site_fract_x
_atom_site_fract_y
_atom_site_fract_z
_atom_site_occupancy
Cu1 Cu 0.000 0.000 0.000 1
Cu2 Cu 0.109 0.500 0.849 1
Ag1 Ag 0.418 0.000 0.230 1
Te1 Te 0.182 0.000 0.601 1
```


Model b:
VASP calculation (GGA-PBE) on crystalline Cu2AgTe at its relaxed geometry.

The structure in CIF format:
```
data_Cu2AgTe
_chemical_formula_sum 'Cu4 Ag2 Te2'
_space_group_name_H-M_alt 'I 4/m m m'
_space_group_IT_number 139
_space_group_name_Hall '-I 4 2'
_cell_length_a 4.144
_cell_length_b 4.144
_cell_length_c 8.032
_cell_angle_alpha 90.00
_cell_angle_beta 90.00
_cell_angle_gamma 90.00
loop_
_atom_site_label
_atom_site_type_symbol
_atom_site_fract_x
_atom_site_fract_y
_atom_site_fract_z
_atom_site_occupancy
Cu1 Cu 0.000 0.500 0.250 1
Ag1 Ag 0.000 0.000 0.000 1
Te1 Te 0.000 0.000 0.500 1
```


Model c:
VASP calculation (GGA-PBE) on crystalline Cu2AgTe at its relaxed geometry.

The structure in CIF format:
```
data_Cu2AgTe
_chemical_formula_sum 'Cu4 Ag2 Te2'
_space_group_name_H-M_alt 'I m m 2'
_space_group_IT_number 44
_cell_length_a 3.968
_cell_length_b 3.974
_cell_length_c 8.732
_cell_angle_alpha 90.00
_cell_angle_beta 90.00
_cell_angle_gamma 90.00
loop_
_space_group_symop_operation_xyz
'x,y,z'
'-x,-y,z'
'-x,y,z'
'x,-y,z'
'x+1/2,y+1/2,z+1/2'
'-x+1/2,-y+1/2,z+1/2'
'-x+1/2,y+1/2,z+1/2'
'x+1/2,-y+1/2,z+1/2'
loop_
_atom_site_label
_atom_site_type_symbol
_atom_site_fract_x
_atom_site_fract_y
_atom_site_fract_z
_atom_site_occupancy
Cu1 Cu 0.000 0.000 0.000 1
Cu2 Cu 0.000 0.500 0.251 1
Ag1 Ag 0.000 0.500 0.751 1
Te1 Te 0.000 0.000 0.501 1
```


Model d:
VASP calculation (GGA-PBE) on crystalline Cu2AgTe at its relaxed geometry.

The structure in CIF format:
```
data_Cu2AgTe
_chemical_formula_sum 'Cu6 Ag3 Te3'
_space_group_name_H-M_alt 'R -3 m'
_space_group_IT_number 166
_space_group_name_Hall '-R 3 2"'
_cell_length_a 4.4353
_cell_length_b 4.4353
_cell_length_c 12.8609
_cell_angle_alpha 90.00
_cell_angle_beta 90.00
_cell_angle_gamma 120.00
loop_
_atom_site_label
_atom_site_type_symbol
_atom_site_fract_x
_atom_site_fract_y
_atom_site_fract_z
_atom_site_occupancy
Cu1 Cu 0.0000 0.0000 0.2192 1
Ag1 Ag 0.0000 0.0000 0.5000 1
Te1 Te 0.0000 0.0000 0.0000 1
```


How do the energies compare? Relative to the most stable structure, in meV/atom: model a 0; model b 57; model c 46; model d 68.


Model a:
VASP calculation (GGA-PBE) on crystalline Cu2AgTe at its relaxed geometry.

The structure in CIF format:
```
data_Cu2AgTe
_chemical_formula_sum 'Cu8 Ag4 Te4'
_space_group_name_H-M_alt 'F -4 3 m'
_space_group_IT_number 216
_space_group_name_Hall 'F -4 2 3'
_cell_length_a 6.604
_cell_length_b 6.604
_cell_length_c 6.604
_cell_angle_alpha 90.00
_cell_angle_beta 90.00
_cell_angle_gamma 90.00
loop_
_atom_site_label
_atom_site_type_symbol
_atom_site_fract_x
_atom_site_fract_y
_atom_site_fract_z
_atom_site_occupancy
Cu1 Cu 0.000 0.000 0.000 1
Cu2 Cu 0.250 0.250 0.250 1
Ag1 Ag 0.000 0.000 0.500 1
Te1 Te 0.250 0.250 0.750 1
```


Model b:
VASP calculation (GGA-PBE) on crystalline Cu2AgTe at its relaxed geometry.

The structure in CIF format:
```
data_Cu2AgTe
_chemical_formula_sum 'Cu2 Ag1 Te1'
_space_group_name_H-M_alt 'P 1 m 1'
_space_group_IT_number 6
_cell_length_a 3.914
_cell_length_b 4.175
_cell_length_c 4.216
_cell_angle_alpha 90.00
_cell_angle_beta 91.18
_cell_angle_gamma 90.00
loop_
_space_group_symop_operation_xyz
'x,y,z'
'x,-y,z'
loop_
_atom_site_label
_atom_site_type_symbol
_atom_site_fract_x
_atom_site_fract_y
_atom_site_fract_z
_atom_site_occupancy
Cu1 Cu 0.000 0.000 0.000 1
Cu2 Cu 0.001 0.500 0.496 1
Ag1 Ag 0.501 0.000 0.500 1
Te1 Te 0.498 0.500 0.999 1
```


Model c:
VASP calculation (GGA-PBE) on crystalline Cu2AgTe at its relaxed geometry.

The structure in CIF format:
```
data_Cu2AgTe
_chemical_formula_sum 'Cu8 Ag4 Te4'
_space_group_name_H-M_alt 'I -4 2 d'
_space_group_IT_number 122
_space_group_name_Hall 'I -4 2bw'
_cell_length_a 4.174
_cell_length_b 4.174
_cell_length_c 17.642
_cell_angle_alpha 90.00
_cell_angle_beta 90.00
_cell_angle_gamma 90.00
loop_
_atom_site_label
_atom_site_type_symbol
_atom_site_fract_x
_atom_site_fract_y
_atom_site_fract_z
_atom_site_occupancy
Cu1 Cu 0.248 0.250 0.125 1
Ag1 Ag 0.000 0.000 0.500 1
Te1 Te 0.000 0.000 0.000 1
```


How do the energies compare? Relative to the most stable structure, in meV/atom: model a 164; model b 0; model c 114.


Model a:
VASP calculation (GGA-PBE) on crystalline CuAgTe at its relaxed geometry.

The structure in CIF format:
```
data_CuAgTe
_chemical_formula_sum 'Cu2 Ag2 Te2'
_space_group_name_H-M_alt 'P 1'
_space_group_IT_number 1
_cell_length_a 4.465
_cell_length_b 4.951
_cell_length_c 7.587
_cell_angle_alpha 77.47
_cell_angle_beta 74.01
_cell_angle_gamma 64.89
loop_
_space_group_symop_operation_xyz
'x,y,z'
loop_
_atom_site_label
_atom_site_type_symbol
_atom_site_fract_x
_atom_site_fract_y
_atom_site_fract_z
_atom_site_occupancy
Cu1 Cu 0.000 0.000 0.000 1
Cu2 Cu 0.262 0.392 0.084 1
Ag1 Ag 0.673 0.355 0.313 1
Ag2 Ag 0.754 0.598 0.901 1
Te1 Te 0.524 0.195 0.778 1
Te2 Te 0.986 0.725 0.341 1
```


Model b:
VASP calculation (GGA-PBE) on crystalline CuAgTe at its relaxed geometry.

The structure in CIF format:
```
data_CuAgTe
_chemical_formula_sum 'Cu2 Ag2 Te2'
_space_group_name_H-M_alt 'I 4 m m'
_space_group_IT_number 107
_space_group_name_Hall 'I 4 -2'
_cell_length_a 3.923
_cell_length_b 3.923
_cell_length_c 7.987
_cell_angle_alpha 90.00
_cell_angle_beta 90.00
_cell_angle_gamma 90.00
loop_
_atom_site_label
_atom_site_type_symbol
_atom_site_fract_x
_atom_site_fract_y
_atom_site_fract_z
_atom_site_occupancy
Cu1 Cu 0.000 0.000 0.000 1
Ag1 Ag 0.000 0.000 0.326 1
Te1 Te 0.000 0.000 0.674 1
```


How do the energies compare? Relative to the most stable structure, in meV/atom: model a 0; model b 186.